Entry 1:
PBE ZnTe4Au, relaxed; space group = F-43m; formation energy from raw total energies = 588 meV per atom; VASP energy = -2.26 eV per atom
1.0
0.0000 4.4623 4.4623
4.4623 0.0000 4.4623
4.4623 4.4623 0.0000
Zn Te Au
1 4 1
direct
0.0000 0.0000 0.0000
0.3754 0.3754 0.3754
0.3754 0.3754 0.8739
0.3754 0.8739 0.3754
0.8739 0.3754 0.3754
0.7500 0.7500 0.7500

=====

Entry 2:
PBE ZnTeAu3, relaxed; space group = Pm-3m; formation energy from raw total energies = 434 meV per atom; VASP energy = -2.42 eV per atom
1.0
4.8696 0.0000 0.0000
0.0000 4.8696 0.0000
0.0000 0.0000 4.8696
Zn Te Au
1 1 3
direct
0.0000 0.0000 0.0000
0.5000 0.5000 0.5000
0.0000 0.0000 0.5000
0.0000 0.5000 0.0000
0.5000 0.0000 0.0000

=====

Entry 3:
PBE Zn2TeAu2, relaxed; space group = P4/mbm; formation energy from raw total energies = -61 meV per atom; VASP energy = -2.51 eV per atom
1.0
7.8924 0.0000 0.0000
0.0000 7.8924 0.0000
0.0000 0.0000 3.0659
Zn Te Au
4 2 4
direct
0.1423 0.3577 0.0000
0.3577 0.8577 0.0000
0.6423 0.1423 0.0000
0.8577 0.6423 0.0000
0.0000 0.0000 0.5000
0.5000 0.5000 0.5000
0.1504 0.6504 0.5000
0.3496 0.1504 0.5000
0.6504 0.8496 0.5000
0.8496 0.3496 0.5000

=====

Entry 4:
PBE ZnTeAu, relaxed; space group = Fmm2; formation energy from raw total energies = 140 meV per atom; VASP energy = -2.42 eV per atom
1.0
0.0000 2.5593 6.2645
2.0101 0.0000 6.2645
2.0101 2.5593 0.0000
Zn Te Au
1 1 1
direct
0.0000 0.0000 0.0000
0.6760 0.6760 0.3240
0.3713 0.3713 0.6288

=====

Entry 5:
PBE Zn2Te3Au, relaxed; space group = Cc; formation energy from raw total energies = -275 meV per atom; VASP energy = -2.82 eV per atom
1.0
3.8154 -6.6136 0.0000
3.8154 6.6136 0.0000
-2.4824 0.0000 7.1105
Zn Te Au
4 6 2
direct
0.0822 0.9178 0.5000
0.2493 0.7515 0.0008
0.7515 0.2493 0.5008
0.9178 0.0822 0.0000
0.1167 0.6250 0.6247
0.2836 0.4557 0.1188
0.4557 0.2836 0.6188
0.6250 0.1167 0.1247
0.7956 0.9616 0.6253
0.9616 0.7956 0.1253
0.4141 0.5806 0.5011
0.5806 0.4141 0.0011

=====

Entry 6:
PBE Zn2TeAu2, relaxed; space group = I4/mmm; formation energy from raw total energies = -98 meV per atom; VASP energy = -2.55 eV per atom
1.0
-1.9575 1.9575 6.4543
1.9575 -1.9575 6.4543
1.9575 1.9575 -6.4543
Zn Te Au
2 1 2
direct
0.2500 0.7500 0.5000
0.7500 0.2500 0.5000
0.0000 0.0000 0.0000
0.3882 0.3882 0.0000
0.6118 0.6118 0.0000

=====

Entry 7:
PBE Zn2TeAu2, relaxed; space group = I4/mmm; formation energy from raw total energies = -51 meV per atom; VASP energy = -2.50 eV per atom
1.0
-1.9615 1.9615 6.5460
1.9615 -1.9615 6.5460
1.9615 1.9615 -6.5460
Zn Te Au
2 1 2
direct
0.1011 0.1011 0.0000
0.8989 0.8989 0.0000
0.5000 0.5000 0.0000
0.2500 0.7500 0.5000
0.7500 0.2500 0.5000

=====

Entry 8:
PBE Zn2TeAu2, relaxed; space group = P4/mbm; formation energy from raw total energies = 10 meV per atom; VASP energy = -2.44 eV per atom
1.0
7.9494 0.0000 0.0000
0.0000 7.9494 0.0000
0.0000 0.0000 3.0521
Zn Te Au
4 2 4
direct
0.1685 0.3315 0.0000
0.3315 0.8315 0.0000
0.6685 0.1685 0.0000
0.8315 0.6685 0.0000
0.0000 0.0000 0.0000
0.5000 0.5000 0.0000
0.1275 0.6275 0.5000
0.3725 0.1275 0.5000
0.6275 0.8725 0.5000
0.8725 0.3725 0.5000

=====

Entry 9:
PBE ZnTeAu, relaxed; space group = P3m1; formation energy from raw total energies = -22 meV per atom; VASP energy = -2.59 eV per atom
1.0
4.2197 0.0000 0.0000
-2.1099 3.6544 0.0000
0.0000 0.0000 4.3307
Zn Te Au
1 1 1
direct
0.0000 0.0000 0.0000
0.3333 0.6667 0.6521
0.6667 0.3333 0.2730

=====

Entry 10:
PBE Zn4TeAu, relaxed; space group = F-43m; formation energy from raw total energies = 162 meV per atom; VASP energy = -1.76 eV per atom
1.0
0.0000 3.7840 3.7840
3.7840 0.0000 3.7840
3.7840 3.7840 0.0000
Zn Te Au
4 1 1
direct
0.1246 0.1246 0.1246
0.1246 0.1246 0.6263
0.1246 0.6263 0.1246
0.6263 0.1246 0.1246
0.5000 0.5000 0.5000
0.7500 0.7500 0.7500

=====

Entry 11:
PBE ZnTeAu, relaxed; space group = I4mm; formation energy from raw total energies = 136 meV per atom; VASP energy = -2.43 eV per atom
1.0
-2.0251 2.0251 4.0902
2.0251 -2.0251 4.0902
2.0251 2.0251 -4.0902
Zn Te Au
1 1 1
direct
0.0000 0.0000 0.0000
0.6636 0.6636 0.0000
0.3170 0.3170 0.0000

=====

Entry 12:
PBE ZrZnTeAu2, relaxed; space group = P4/mmm; formation energy from raw total energies = 354 meV per atom; VASP energy = -3.55 eV per atom
1.0
4.7846 0.0000 0.0000
0.0000 4.7846 0.0000
0.0000 0.0000 5.2122
Zr Zn Te Au
1 1 1 2
direct
0.0000 0.0000 0.0000
0.5000 0.5000 0.5000
0.5000 0.5000 0.0000
0.0000 0.5000 0.5000
0.5000 0.0000 0.5000